Record 1
First-principles (PBE) data for a geometry-optimized La2HgTe structure, as listed in Alexandria via LeMat-Bulk.

Its electronic total energy is -4.27 eV per atom. Its symmetry is No. 8.

POSCAR file:
```
La2HgTe
1.0
6.117 -2.080 0.000
6.117 2.080 0.000
-0.005 0.000 5.023
La Hg Te
2 1 1
direct
0.000 0.000 0.000 La
0.749 0.749 0.501 La
0.495 0.495 0.500 Hg
0.271 0.271 0.001 Te
```


Record 2
First-principles (PBE) data for a geometry-optimized La2HgTe structure, as listed in Alexandria via LeMat-Bulk.

Its electronic total energy is -4.15 eV per atom. Its symmetry is No. 225.

POSCAR file:
```
La2HgTe
1.0
0.000 3.919 3.919
3.919 0.000 3.919
3.919 3.919 0.000
La Hg Te
2 1 1
direct
0.250 0.250 0.250 La
0.750 0.750 0.750 La
0.000 0.000 0.000 Hg
0.500 0.500 0.500 Te
```


Record 3
First-principles (PBE) data for a geometry-optimized La2HgTe structure, as listed in Alexandria via LeMat-Bulk.

Its electronic total energy is -4.24 eV per atom. Its symmetry is No. 160.

POSCAR file:
```
La2HgTe
1.0
2.161 1.248 8.442
-2.161 1.248 8.442
0.000 -2.496 8.442
La Hg Te
2 1 1
direct
0.000 0.000 0.000 La
0.169 0.169 0.169 La
0.586 0.586 0.586 Hg
0.417 0.417 0.417 Te
```


Record 4
First-principles (PBE) data for a geometry-optimized La2HgTe structure, as listed in Alexandria via LeMat-Bulk.

Its electronic total energy is -3.64 eV per atom. Its symmetry is No. 216.

POSCAR file:
```
La2HgTe
1.0
0.000 3.907 3.907
3.907 0.000 3.907
3.907 3.907 0.000
La Hg Te
2 1 1
direct
0.000 0.000 0.000 La
0.250 0.250 0.250 La
0.500 0.500 0.500 Hg
0.750 0.750 0.750 Te
```


Record 5
First-principles (PBE) data for a geometry-optimized La2HgTe structure, as listed in Alexandria via LeMat-Bulk.

Its electronic total energy is -4.31 eV per atom. Its symmetry is No. 166.

POSCAR file:
```
La2HgTe
1.0
2.218 1.280 7.966
-2.218 1.280 7.966
0.000 -2.561 7.966
La Hg Te
2 1 1
direct
0.249 0.249 0.249 La
0.751 0.751 0.751 La
0.000 0.000 0.000 Hg
0.500 0.500 0.500 Te
```


Record 6
First-principles (PBE) data for a geometry-optimized La5Hg2Te structure, as listed in Alexandria via LeMat-Bulk.

Its electronic total energy is -4.10 eV per atom. Its symmetry is No. 55.

POSCAR file:
```
La5Hg2Te
1.0
7.115 0.000 0.000
0.000 13.811 0.000
0.000 0.000 5.289
La Hg Te
10 4 2
direct
0.000 0.000 0.000 La
0.114 0.279 0.000 La
0.194 0.592 0.500 La
0.306 0.092 0.500 La
0.386 0.779 0.000 La
0.500 0.500 0.000 La
0.614 0.221 0.000 La
0.694 0.908 0.500 La
0.806 0.408 0.500 La
0.886 0.721 0.000 La
0.129 0.841 0.500 Hg
0.371 0.341 0.500 Hg
0.629 0.659 0.500 Hg
0.871 0.159 0.500 Hg
0.000 0.500 0.000 Te
0.500 0.000 0.000 Te
```